No. 1
{
  "formula": "Rb3PmP2O8",
  "functional": "PBE",
  "state": "optimized geometry",
  "raw_formation_energy_kj_per_mol_atoms": -245.4,
  "dos_ef_per_ev_atom": 0.000,
  "crystal_system": "trigonal",
  "space_group": "P-3m1, No. 164",
  "volume_a3_per_atom": 17.47,
  "density_g_cm3": 4.0,
  "lattice": [[5.831, 0.000, 0.000], [-2.916, 5.050, 0.000], [0.000, 0.000, 8.304]],
  "species": ["Rb", "Rb", "Rb", "Pm", "P", "P", "O", "O", "O", "O", "O", "O", "O", "O"],
  "frac_coords": [[0.000, 0.000, 0.000], [0.333, 0.667, 0.756], [0.667, 0.333, 0.244], [0.000, 0.000, 0.500], [0.333, 0.667, 0.269], [0.667, 0.333, 0.731], [0.188, 0.375, 0.335], [0.188, 0.812, 0.335], [0.333, 0.667, 0.085], [0.375, 0.188, 0.665], [0.625, 0.812, 0.335], [0.667, 0.333, 0.915], [0.812, 0.188, 0.665], [0.812, 0.625, 0.665]]
}

---

No. 2
{
  "formula": "Ce2Th2Sb3",
  "functional": "PBE",
  "state": "optimized geometry",
  "raw_formation_energy_kj_per_mol_atoms": -62.1,
  "dos_ef_per_ev_atom": 2.194,
  "crystal_system": "monoclinic",
  "space_group": "C2/m, No. 12",
  "volume_a3_per_atom": 33.75,
  "density_g_cm3": 7.8,
  "lattice": [[7.266, -2.181, 0.000], [7.266, 2.181, 0.000], [-1.360, 0.000, 7.454]],
  "species": ["Ce", "Ce", "Th", "Th", "Sb", "Sb", "Sb"],
  "frac_coords": [[0.121, 0.121, 0.351], [0.879, 0.879, 0.649], [0.383, 0.383, 0.109], [0.617, 0.617, 0.891], [0.239, 0.239, 0.742], [0.500, 0.500, 0.500], [0.761, 0.761, 0.258]]
}

---

No. 3
{
  "formula": "LiLaMg2In",
  "functional": "PBE",
  "state": "optimized geometry",
  "dos_ef_per_ev_atom": 1.546,
  "crystal_system": "tetragonal",
  "formation_enthalpy_0k_ev_per_atom": 1.0328,
  "space_group": "P4/mmm, No. 123",
  "volume_a3_per_atom": 42.93,
  "density_g_cm3": 2.4,
  "lattice": [[6.134, 0.000, 0.000], [0.000, 6.134, 0.000], [0.000, 0.000, 5.706]],
  "species": ["Li", "La", "Mg", "Mg", "In"],
  "frac_coords": [[0.000, 0.000, 0.000], [0.000, 0.000, 0.500], [0.000, 0.500, 0.500], [0.500, 0.000, 0.500], [0.500, 0.500, 0.000]]
}

---

No. 4
{
  "formula": "TbHg5Pd",
  "functional": "PBE",
  "state": "optimized geometry",
  "dos_ef_per_ev_atom": 0.580,
  "crystal_system": "tetragonal",
  "formation_enthalpy_0k_ev_per_atom": -0.2840,
  "space_group": "P4/mmm, No. 123",
  "volume_a3_per_atom": 23.85,
  "density_g_cm3": 12.6,
  "lattice": [[4.843, 0.000, 0.000], [0.000, 4.843, 0.000], [0.000, 0.000, 7.119]],
  "species": ["Tb", "Hg", "Hg", "Hg", "Hg", "Hg", "Pd"],
  "frac_coords": [[0.000, 0.000, 0.000], [0.000, 0.500, 0.290], [0.000, 0.500, 0.710], [0.500, 0.000, 0.290], [0.500, 0.000, 0.710], [0.500, 0.500, 0.000], [0.000, 0.000, 0.500]]
}

---

No. 5
{
  "formula": "Y2ScAgC",
  "functional": "PBE",
  "state": "optimized geometry",
  "dos_ef_per_ev_atom": 1.349,
  "crystal_system": "tetragonal",
  "formation_enthalpy_0k_ev_per_atom": -0.2967,
  "space_group": "P4/mmm, No. 123",
  "volume_a3_per_atom": 21.92,
  "density_g_cm3": 5.2,
  "lattice": [[4.971, 0.000, 0.000], [0.000, 4.971, 0.000], [0.000, 0.000, 4.436]],
  "species": ["Y", "Y", "Sc", "Ag", "C"],
  "frac_coords": [[0.000, 0.500, 0.000], [0.500, 0.000, 0.000], [0.000, 0.000, 0.500], [0.500, 0.500, 0.500], [0.000, 0.000, 0.000]]
}

---

No. 6
{
  "formula": "Sr2SF",
  "functional": "PBE",
  "state": "optimized geometry",
  "raw_formation_energy_kj_per_mol_atoms": -229.4,
  "dos_ef_per_ev_atom": 0.213,
  "crystal_system": "monoclinic",
  "space_group": "P2_1/c, No. 14",
  "volume_a3_per_atom": 28.15,
  "density_g_cm3": 3.3,
  "lattice": [[8.527, 0.000, 0.000], [0.000, 7.451, 0.000], [-3.771, 0.000, 7.088]],
  "species": ["Sr", "Sr", "Sr", "Sr", "Sr", "Sr", "Sr", "Sr", "S", "S", "S", "S", "F", "F", "F", "F"],
  "frac_coords": [[0.169, 0.250, 0.084], [0.169, 0.250, 0.584], [0.314, 0.691, 0.408], [0.314, 0.809, 0.908], [0.686, 0.191, 0.092], [0.686, 0.309, 0.592], [0.831, 0.750, 0.416], [0.831, 0.750, 0.916], [0.046, 0.520, 0.773], [0.046, 0.980, 0.273], [0.954, 0.020, 0.727], [0.954, 0.480, 0.227], [0.365, 0.145, 0.933], [0.365, 0.355, 0.433], [0.635, 0.645, 0.567], [0.635, 0.855, 0.067]]
}

---

No. 7
{
  "formula": "K2TcPt",
  "functional": "PBE",
  "state": "optimized geometry",
  "dos_ef_per_ev_atom": 1.038,
  "crystal_system": "cubic",
  "formation_enthalpy_0k_ev_per_atom": 1.3352,
  "space_group": "Fm-3m, No. 225",
  "volume_a3_per_atom": 28.04,
  "density_g_cm3": 5.5,
  "lattice": [[0.000, 3.828, 3.828], [3.828, 0.000, 3.828], [3.828, 3.828, 0.000]],
  "species": ["K", "K", "Tc", "Pt"],
  "frac_coords": [[0.250, 0.250, 0.250], [0.750, 0.750, 0.750], [0.000, 0.000, 0.000], [0.500, 0.500, 0.500]]
}

---

No. 8
{
  "formula": "Ba2TePd",
  "functional": "PBE",
  "state": "optimized geometry",
  "raw_formation_energy_kj_per_mol_atoms": -98.2,
  "crystal_system": "trigonal",
  "space_group": "R3m, No. 160",
  "volume_a3_per_atom": 40.11,
  "density_g_cm3": 5.3,
  "lattice": [[2.379, 1.374, 8.182], [-2.379, 1.374, 8.182], [0.000, -2.747, 8.182]],
  "species": ["Ba", "Ba", "Te", "Pd"],
  "frac_coords": [[0.000, 0.000, 0.000], [0.179, 0.179, 0.179], [0.756, 0.756, 0.756], [0.591, 0.591, 0.591]]
}